Entry from Alexandria via LeMat-Bulk: a crystal of LiMg relaxed with PBEsol (meta-GGA SCAN).

Calculated values
For the density of states at the Fermi level, the calculation gives 0.723 states/eV per cell. The calculation puts the final energy at -3.71 eV/atom. The value obtained for the energy relative to the elements is -0.026 eV/atom.

Lattice parameters (Å, degrees): 5.2840 5.2840 5.2840 33.99 33.99 33.99
Positions (direct):
Li: 0.0000 0.0000 0.0000
Mg: 0.5000 0.5000 0.5000